No. 1
DFT (PBE-GGA) results for CuAg after structural relaxation.

- Calculated density: 9.465 g cm⁻³
- Uncorrected energy: -57.40 eV per cell

```
data_CuAg
_cell_length_a 2.8014
_cell_length_b 2.8014
_cell_length_c 39.8213
_cell_angle_alpha 90.00
_cell_angle_beta 90.00
_cell_angle_gamma 120.00
_symmetry_space_group_name_H-M 'P 1'
_symmetry_Int_Tables_number 1
loop_
_symmetry_equiv_pos_as_xyz
'x,y,z'
loop_
_atom_site_label
_atom_site_fract_x
_atom_site_fract_y
_atom_site_fract_z
Ag1 0.3333 0.6667 0.0617
Ag2 0.0000 0.0000 0.0000
Ag3 0.3333 0.6667 0.2481
Ag4 0.6667 0.3333 0.7519
Ag5 0.0000 0.0000 0.1854
Ag6 0.3333 0.6667 0.8767
Ag7 0.6667 0.3333 0.1233
Ag8 0.0000 0.0000 0.8146
Ag9 0.6667 0.3333 0.9383
Cu1 0.6667 0.3333 0.4507
Cu2 0.6667 0.3333 0.3038
Cu3 0.6667 0.3333 0.5984
Cu4 0.0000 0.0000 0.6475
Cu5 0.3333 0.6667 0.4016
Cu6 0.0000 0.0000 0.3525
Cu7 0.3333 0.6667 0.5493
Cu8 0.3333 0.6667 0.6962
Cu9 0.0000 0.0000 0.5000
```

---

No. 2
DFT (PBE-GGA) results for Cu3Ag5 after structural relaxation.

- Calculated density: 9.659 g cm⁻³
- Uncorrected energy: -24.56 eV per cell

```
data_Cu3Ag5
_cell_length_a 2.8542
_cell_length_b 3.8320
_cell_length_c 11.4733
_cell_angle_alpha 90.00
_cell_angle_beta 90.00
_cell_angle_gamma 90.00
_symmetry_space_group_name_H-M 'P 1'
_symmetry_Int_Tables_number 1
loop_
_symmetry_equiv_pos_as_xyz
'x,y,z'
loop_
_atom_site_label
_atom_site_fract_x
_atom_site_fract_y
_atom_site_fract_z
Cu1 0.5000 0.5000 0.0000
Cu2 0.0000 0.0000 0.6198
Cu3 0.0000 0.0000 0.3802
Ag1 0.5000 0.5000 0.5000
Ag2 0.0000 0.0000 0.1218
Ag3 0.0000 0.0000 0.8782
Ag4 0.5000 0.5000 0.2568
Ag5 0.5000 0.5000 0.7432
```

---

No. 3
DFT (PBE-GGA) results for Cu3Ag2 after structural relaxation.

- Calculated density: 9.389 g cm⁻³
- Uncorrected energy: -32.61 eV per cell

```
data_Cu3Ag2
_cell_length_a 7.2792
_cell_length_b 7.2792
_cell_length_c 7.5631
_cell_angle_alpha 105.29
_cell_angle_beta 105.29
_cell_angle_gamma 21.86
_symmetry_space_group_name_H-M 'P 1'
_symmetry_Int_Tables_number 1
loop_
_symmetry_equiv_pos_as_xyz
'x,y,z'
loop_
_atom_site_label
_atom_site_fract_x
_atom_site_fract_y
_atom_site_fract_z
Ag1 0.1957 0.1957 0.0855
Ag2 0.0020 0.0020 0.4857
Ag3 0.7974 0.7974 0.4043
Ag4 0.4051 0.4051 0.7262
Cu1 0.6009 0.6009 0.2970
Cu2 0.6002 0.6002 0.7916
Cu3 0.1986 0.1986 0.6146
Cu4 0.0037 0.0037 0.0204
Cu5 0.3990 0.3990 0.1757
Cu6 0.7974 0.7974 0.8989
```

---

No. 4
DFT (PBE-GGA) results for Cu3Ag7 after structural relaxation.

- Calculated density: 9.635 g cm⁻³
- Uncorrected energy: -60.34 eV per cell

```
data_Cu3Ag7
_cell_length_a 4.9504
_cell_length_b 7.4463
_cell_length_c 9.8990
_cell_angle_alpha 103.75
_cell_angle_beta 99.03
_cell_angle_gamma 108.20
_symmetry_space_group_name_H-M 'P 1'
_symmetry_Int_Tables_number 1
loop_
_symmetry_equiv_pos_as_xyz
'x,y,z'
loop_
_atom_site_label
_atom_site_fract_x
_atom_site_fract_y
_atom_site_fract_z
Ag1 0.0066 0.9925 0.5007
Ag2 0.2072 0.2050 0.3092
Ag3 0.4067 0.4074 0.1048
Ag4 0.5999 0.1110 0.6526
Ag5 0.9970 0.9989 0.9957
Ag6 0.6091 0.0970 0.1538
Ag7 0.1942 0.7005 0.0480
Ag8 0.8047 0.3217 0.4651
Ag9 0.4142 0.8934 0.3526
Ag10 0.3835 0.8951 0.8378
Ag11 0.8032 0.3001 0.9464
Ag12 0.7920 0.7802 0.6858
Ag13 0.9968 0.5109 0.2607
Ag14 0.5889 0.5889 0.8897
Cu1 0.0135 0.4975 0.7479
Cu2 0.2133 0.6905 0.5505
Cu3 0.1910 0.2076 0.7916
Cu4 0.3828 0.4037 0.6023
Cu5 0.5935 0.6000 0.4023
Cu6 0.8019 0.7982 0.2026
```

---

No. 5
DFT (PBE-GGA) results for Cu3Ag5 after structural relaxation.

- Calculated density: 9.579 g cm⁻³
- Uncorrected energy: -24.59 eV per cell

```
data_Cu3Ag5
_cell_length_a 9.2334
_cell_length_b 9.2334
_cell_length_c 4.9321
_cell_angle_alpha 95.02
_cell_angle_beta 95.02
_cell_angle_gamma 17.59
_symmetry_space_group_name_H-M 'P 1'
_symmetry_Int_Tables_number 1
loop_
_symmetry_equiv_pos_as_xyz
'x,y,z'
loop_
_atom_site_label
_atom_site_fract_x
_atom_site_fract_y
_atom_site_fract_z
Ag1 0.1169 0.1169 0.3706
Ag2 0.8806 0.8806 0.6280
Ag3 0.2442 0.2442 0.7522
Ag4 0.3852 0.3852 0.1280
Ag5 0.7486 0.7486 0.2475
Cu1 0.6168 0.6168 0.8721
Cu2 0.5022 0.5022 0.5187
Cu3 0.0056 0.0056 0.9829
```

---

No. 6
DFT (PBE-GGA) results for CuAg after structural relaxation.

- Calculated density: 9.520 g cm⁻³
- Uncorrected energy: -31.79 eV per cell

```
data_CuAg
_cell_length_a 4.8354
_cell_length_b 4.8354
_cell_length_c 8.7224
_cell_angle_alpha 91.50
_cell_angle_beta 91.50
_cell_angle_gamma 47.17
_symmetry_space_group_name_H-M 'P 1'
_symmetry_Int_Tables_number 1
loop_
_symmetry_equiv_pos_as_xyz
'x,y,z'
loop_
_atom_site_label
_atom_site_fract_x
_atom_site_fract_y
_atom_site_fract_z
Cu1 0.1940 0.1940 0.3847
Cu2 0.2978 0.2978 0.1112
Cu3 0.5011 0.5011 0.4824
Cu4 0.0090 0.0090 0.0155
Cu5 0.5991 0.5991 0.2051
Ag1 0.7038 0.7038 0.9221
Ag2 0.8999 0.8999 0.2911
Ag3 0.7958 0.7958 0.5848
Ag4 0.0967 0.0967 0.6913
Ag5 0.4027 0.4027 0.8117
```

---

No. 7
DFT (PBE-GGA) results for Cu3Ag2 after structural relaxation.

- Calculated density: 9.427 g cm⁻³
- Uncorrected energy: -32.70 eV per cell

```
data_Cu3Ag2
_cell_length_a 4.7530
_cell_length_b 4.7530
_cell_length_c 8.6095
_cell_angle_alpha 90.11
_cell_angle_beta 90.11
_cell_angle_gamma 47.40
_symmetry_space_group_name_H-M 'P 1'
_symmetry_Int_Tables_number 1
loop_
_symmetry_equiv_pos_as_xyz
'x,y,z'
loop_
_atom_site_label
_atom_site_fract_x
_atom_site_fract_y
_atom_site_fract_z
Ag1 0.6461 0.6461 0.5558
Ag2 0.3539 0.3539 0.4442
Ag3 0.7425 0.7425 0.2328
Ag4 0.2575 0.2575 0.7672
Cu1 0.8622 0.8622 0.9522
Cu2 0.9550 0.9550 0.6657
Cu3 0.1378 0.1378 0.0478
Cu4 0.5545 0.5545 0.8645
Cu5 0.4455 0.4455 0.1355
Cu6 0.0450 0.0450 0.3343
```

---

No. 8
DFT (PBE-GGA) results for Cu3Ag2 after structural relaxation.

- Calculated density: 9.422 g cm⁻³
- Uncorrected energy: -32.88 eV per cell

```
data_Cu3Ag2
_cell_length_a 2.8142
_cell_length_b 3.4338
_cell_length_c 14.8222
_cell_angle_alpha 90.00
_cell_angle_beta 90.00
_cell_angle_gamma 90.00
_symmetry_space_group_name_H-M 'P 1'
_symmetry_Int_Tables_number 1
loop_
_symmetry_equiv_pos_as_xyz
'x,y,z'
loop_
_atom_site_label
_atom_site_fract_x
_atom_site_fract_y
_atom_site_fract_z
Cu1 0.5000 0.5000 0.6881
Cu2 0.0000 0.0000 0.2274
Cu3 0.0000 0.0000 0.6027
Cu4 0.0000 0.0000 0.3973
Cu5 0.5000 0.5000 0.3119
Cu6 0.0000 0.0000 0.7726
Ag1 0.5000 0.5000 0.8766
Ag2 0.5000 0.5000 0.1234
Ag3 0.0000 0.0000 0.0000
Ag4 0.5000 0.5000 0.5000
```

---

No. 9
DFT (PBE-GGA) results for Cu7Ag2 after structural relaxation.

- Calculated density: 9.206 g cm⁻³
- Uncorrected energy: -31.01 eV per cell

```
data_Cu7Ag2
_cell_length_a 6.9790
_cell_length_b 6.9790
_cell_length_c 6.4239
_cell_angle_alpha 91.69
_cell_angle_beta 91.69
_cell_angle_gamma 22.39
_symmetry_space_group_name_H-M 'P 1'
_symmetry_Int_Tables_number 1
loop_
_symmetry_equiv_pos_as_xyz
'x,y,z'
loop_
_atom_site_label
_atom_site_fract_x
_atom_site_fract_y
_atom_site_fract_z
Ag1 0.7187 0.7187 0.3170
Ag2 0.2813 0.2813 0.6830
Cu1 0.1558 0.1558 0.9829
Cu2 0.3958 0.3958 0.3394
Cu3 0.5000 0.5000 0.0000
Cu4 0.8442 0.8442 0.0171
Cu5 0.0486 0.0486 0.3292
Cu6 0.9514 0.9514 0.6708
Cu7 0.6042 0.6042 0.6606
```

---

No. 10
DFT (PBE-GGA) results for Cu5Ag3 after structural relaxation.

- Calculated density: 9.403 g cm⁻³
- Uncorrected energy: -26.27 eV per cell

```
data_Cu5Ag3
_cell_length_a 4.7095
_cell_length_b 4.7095
_cell_length_c 7.7929
_cell_angle_alpha 114.63
_cell_angle_beta 114.63
_cell_angle_gamma 47.38
_symmetry_space_group_name_H-M 'P 1'
_symmetry_Int_Tables_number 1
loop_
_symmetry_equiv_pos_as_xyz
'x,y,z'
loop_
_atom_site_label
_atom_site_fract_x
_atom_site_fract_y
_atom_site_fract_z
Cu1 0.5000 0.5000 0.5000
Cu2 0.2551 0.2551 0.1215
Cu3 0.0076 0.0076 0.7559
Cu4 0.9924 0.9924 0.2441
Cu5 0.7449 0.7449 0.8785
Ag1 0.5000 0.5000 0.0000
Ag2 0.7564 0.7564 0.3738
Ag3 0.2436 0.2436 0.6262
```

---

No. 11
DFT (PBE-GGA) results for Cu3Ag7 after structural relaxation.

- Calculated density: 9.689 g cm⁻³
- Uncorrected energy: -30.22 eV per cell

```
data_Cu3Ag7
_cell_length_a 22.6446
_cell_length_b 22.6446
_cell_length_c 22.6446
_cell_angle_alpha 7.29
_cell_angle_beta 7.29
_cell_angle_gamma 7.29
_symmetry_space_group_name_H-M 'P 1'
_symmetry_Int_Tables_number 1
loop_
_symmetry_equiv_pos_as_xyz
'x,y,z'
loop_
_atom_site_label
_atom_site_fract_x
_atom_site_fract_y
_atom_site_fract_z
Ag1 0.1992 0.1992 0.1992
Ag2 0.9014 0.9014 0.9014
Ag3 0.6036 0.6036 0.6036
Ag4 0.3061 0.3061 0.3061
Ag5 0.4970 0.4970 0.4970
Ag6 0.3979 0.3979 0.3979
Ag7 0.7946 0.7946 0.7946
Cu1 0.6991 0.6991 0.6991
Cu2 0.0047 0.0047 0.0047
Cu3 0.0964 0.0964 0.0964
```

---

No. 12
DFT (PBE-GGA) results for CuAg after structural relaxation.

- Calculated density: 9.488 g cm⁻³
- Uncorrected energy: -31.96 eV per cell

```
data_CuAg
_cell_length_a 2.8439
_cell_length_b 3.5020
_cell_length_c 15.0613
_cell_angle_alpha 90.00
_cell_angle_beta 90.00
_cell_angle_gamma 90.00
_symmetry_space_group_name_H-M 'P 1'
_symmetry_Int_Tables_number 1
loop_
_symmetry_equiv_pos_as_xyz
'x,y,z'
loop_
_atom_site_label
_atom_site_fract_x
_atom_site_fract_y
_atom_site_fract_z
Cu1 0.5000 0.0000 0.5265
Cu2 0.0000 0.5000 0.6076
Cu3 0.0000 0.5000 0.8055
Cu4 0.0000 0.5000 0.9713
Cu5 0.5000 0.0000 0.8887
Ag1 0.0000 0.5000 0.4259
Ag2 0.5000 0.0000 0.3073
Ag3 0.5000 0.0000 0.7069
Ag4 0.5000 0.0000 0.0711
Ag5 0.0000 0.5000 0.1892
```